No. 1
TcSnH2 | Alexandria via LeMat-Bulk | GGA-PBE | optimized geometry; E_tot = -4.82 eV/atom; M_tot = 0.71 μB/cell
1.0
-2.358 2.358 4.262
2.358 -2.358 4.262
2.358 2.358 -4.262
Tc Sn H
2 2 4
direct
0.000 0.000 0.000
0.750 0.250 0.500
0.250 0.750 0.500
0.500 0.500 0.000
0.018 0.625 0.893
0.375 0.268 0.393
0.732 0.125 0.107
0.875 0.982 0.607

---

No. 2
Tc4Sn2H | Alexandria via LeMat-Bulk | GGA-PBE | optimized geometry; E_tot = -7.29 eV/atom; M_tot = 0.01 μB/cell
1.0
-1.993 1.993 6.747
1.993 -1.993 6.747
1.993 1.993 -6.747
Tc Sn H
4 2 1
direct
0.000 0.500 0.500
0.148 0.148 0.000
0.500 0.000 0.500
0.852 0.852 0.000
0.349 0.349 0.000
0.651 0.651 0.000
0.000 0.000 0.000

---

No. 3
TcSnH2 | Alexandria via LeMat-Bulk | GGA-PBE | optimized geometry; E_tot = -4.28 eV/atom; M_tot = 0.00 μB/cell
1.0
0.000 2.789 2.789
2.789 0.000 2.789
2.789 2.789 0.000
Tc Sn H
1 1 2
direct
0.000 0.000 0.000
0.500 0.500 0.500
0.250 0.250 0.250
0.750 0.750 0.750

---

No. 4
TcSn2H6 | Alexandria via LeMat-Bulk | GGA-PBE | optimized geometry; E_tot = -4.08 eV/atom; M_tot = 0.00 μB/cell
1.0
-2.508 2.508 3.539
2.508 -2.508 3.539
2.508 2.508 -3.539
Tc Sn H
1 2 6
direct
0.000 0.000 0.000
0.250 0.750 0.500
0.750 0.250 0.500
0.253 0.253 0.000
0.253 0.253 0.506
0.253 0.747 0.000
0.747 0.253 0.000
0.747 0.747 0.000
0.747 0.747 0.494

---

No. 5
Ti2TcSnH | Alexandria via LeMat-Bulk | GGA-PBE | optimized geometry; E_tot = -7.05 eV/atom; M_tot = 0.00 μB/cell
1.0
4.150 0.000 0.000
0.000 4.150 0.000
0.000 0.000 3.997
Ti Tc Sn H
2 1 1 1
direct
0.000 0.500 0.000
0.500 0.000 0.000
0.000 0.000 0.500
0.500 0.500 0.500
0.000 0.000 0.000

---

No. 6
VTc2SnH | Alexandria via LeMat-Bulk | GGA-PBE | optimized geometry; E_tot = -7.39 eV/atom; M_tot = 0.39 μB/cell
1.0
4.157 0.000 0.000
0.000 4.157 0.000
0.000 0.000 3.746
V Tc Sn H
1 2 1 1
direct
0.000 0.000 0.000
0.000 0.500 0.500
0.500 0.000 0.500
0.500 0.500 0.000
0.000 0.000 0.500

---

No. 7
Sn2Te3H2 | Alexandria via LeMat-Bulk | GGA-PBE | optimized geometry; E_tot = -3.37 eV/atom; M_tot = 0.00 μB/cell
1.0
4.410 0.000 0.000
0.085 4.668 0.000
0.729 1.665 9.171
Sn Te H
2 3 2
direct
0.232 0.182 0.351
0.768 0.818 0.649
0.000 0.500 0.000
0.262 0.377 0.710
0.738 0.623 0.290
0.227 0.222 0.138
0.773 0.778 0.862

---

No. 8
Sn3TeH | Alexandria via LeMat-Bulk | GGA-PBE | optimized geometry; E_tot = -2.64 eV/atom; M_tot = 0.67 μB/cell
1.0
5.970 0.000 0.000
0.000 5.970 0.000
0.000 0.000 5.970
Sn Te H
3 1 1
direct
0.000 0.000 0.500
0.000 0.500 0.000
0.500 0.000 0.000
0.000 0.000 0.000
0.500 0.500 0.500